Density functional theory data (PBE) for a geometry-optimized LiAcTbCu structure.

Geometry as CIF:
```
data_LiAcTbCu
_chemical_formula_sum 'Li4 Ac4 Tb4 Cu4'
_symmetry_space_group_name_H-M 'F -4 3 m'
_symmetry_Int_Tables_number 216
_symmetry_space_group_name_Hall 'F -4 2 3'
_cell_length_a 7.493
_cell_length_b 7.493
_cell_length_c 7.493
_cell_angle_alpha 90.00
_cell_angle_beta 90.00
_cell_angle_gamma 90.00
loop_
_atom_site_label
_atom_site_type_symbol
_atom_site_fract_x
_atom_site_fract_y
_atom_site_fract_z
_atom_site_occupancy
Li1 Li 0.000 0.000 0.000 1
Ac1 Ac 0.250 0.250 0.250 1
Tb1 Tb 0.250 0.250 0.750 1
Cu1 Cu 0.000 0.000 0.500 1
```

=====

# YAu3N | Alexandria via LeMat-Bulk | PBE | optimized geometry
data_YAu3N
_chemical_formula_sum 'Y1 Au3 N1'
_symmetry_space_group_name_H-M 'P m -3 m'
_symmetry_Int_Tables_number 221
_symmetry_space_group_name_Hall '-P 4 2 3'
_cell_length_a 4.548
_cell_length_b 4.548
_cell_length_c 4.548
_cell_angle_alpha 90.00
_cell_angle_beta 90.00
_cell_angle_gamma 90.00
loop_
_atom_site_label
_atom_site_type_symbol
_atom_site_fract_x
_atom_site_fract_y
_atom_site_fract_z
_atom_site_occupancy
Y1 Y 0.000 0.000 0.000 1
Au1 Au 0.000 0.500 0.500 1
N1 N 0.500 0.500 0.500 1
# energy relative to the lowest polymorph listed for this composition	0.000	eV/atom
# ΔE_f (raw)	1.5	eV/f.u.

=====

Density functional theory data (PBE) for a geometry-optimized DyInRh structure.

Geometry as CIF:
```
data_DyInRh
_chemical_formula_sum 'Dy3 In3 Rh3'
_symmetry_space_group_name_H-M 'P -6 2 m'
_symmetry_Int_Tables_number 189
_symmetry_space_group_name_Hall 'P -6 -2'
_cell_length_a 7.5504
_cell_length_b 7.5504
_cell_length_c 3.8972
_cell_angle_alpha 90.00
_cell_angle_beta 90.00
_cell_angle_gamma 120.00
loop_
_atom_site_label
_atom_site_type_symbol
_atom_site_fract_x
_atom_site_fract_y
_atom_site_fract_z
_atom_site_occupancy
Dy1 Dy 0.0000 0.5950 0.0000 1
In1 In 0.0000 0.2580 0.5000 1
Rh1 Rh 0.0000 0.0000 0.0000 1
Rh2 Rh 0.3333 0.6667 0.5000 1
```

=====

# LaSb2P2Pd7 | Alexandria via LeMat-Bulk | PBE | optimized geometry
data_LaSb2P2Pd7
_chemical_formula_sum 'La2 Sb4 P4 Pd14'
_symmetry_space_group_name_H-M 'C 1 2/m 1'
_symmetry_Int_Tables_number 12
_cell_length_a 6.078
_cell_length_b 5.833
_cell_length_c 12.856
_cell_angle_alpha 90.00
_cell_angle_beta 90.98
_cell_angle_gamma 90.00
loop_
_symmetry_equiv_pos_as_xyz
'x,y,z'
'-x,-y,-z'
'-x,y,-z'
'x,-y,z'
'x+1/2,y+1/2,z'
'-x+1/2,-y+1/2,-z'
'-x+1/2,y+1/2,-z'
'x+1/2,-y+1/2,z'
loop_
_atom_site_label
_atom_site_type_symbol
_atom_site_fract_x
_atom_site_fract_y
_atom_site_fract_z
_atom_site_occupancy
La1 La 0.000 0.000 0.000 1
Sb1 Sb 0.169 0.000 0.400 1
P1 P 0.143 0.500 0.167 1
Pd1 Pd 0.000 0.500 0.000 1
Pd2 Pd 0.100 0.247 0.747 1
Pd3 Pd 0.143 0.500 0.409 1
# ΔE_f (raw)	-6.8	eV/f.u.

=====

Density functional theory data (PBE) for a geometry-optimized Li4AsPd4 structure.

Geometry as CIF:
```
data_Li4AsPd4
_chemical_formula_sum 'Li8 As2 Pd8'
_symmetry_space_group_name_H-M 'I 4/m m m'
_symmetry_Int_Tables_number 139
_symmetry_space_group_name_Hall '-I 4 2'
_cell_length_a 7.851
_cell_length_b 7.851
_cell_length_c 4.110
_cell_angle_alpha 90.00
_cell_angle_beta 90.00
_cell_angle_gamma 90.00
loop_
_atom_site_label
_atom_site_type_symbol
_atom_site_fract_x
_atom_site_fract_y
_atom_site_fract_z
_atom_site_occupancy
Li1 Li 0.168 0.168 0.000 1
As1 As 0.000 0.000 0.500 1
Pd1 Pd 0.000 0.321 0.500 1
```

=====

Density functional theory data (PBE) for a geometry-optimized KSrAgBi structure.

Geometry as CIF:
```
data_KSrAgBi
_chemical_formula_sum 'K4 Sr4 Ag4 Bi4'
_symmetry_space_group_name_H-M 'F -4 3 m'
_symmetry_Int_Tables_number 216
_symmetry_space_group_name_Hall 'F -4 2 3'
_cell_length_a 8.125
_cell_length_b 8.125
_cell_length_c 8.125
_cell_angle_alpha 90.00
_cell_angle_beta 90.00
_cell_angle_gamma 90.00
loop_
_atom_site_label
_atom_site_type_symbol
_atom_site_fract_x
_atom_site_fract_y
_atom_site_fract_z
_atom_site_occupancy
K1 K 0.000 0.000 0.000 1
Sr1 Sr 0.000 0.000 0.500 1
Ag1 Ag 0.250 0.250 0.250 1
Bi1 Bi 0.250 0.250 0.750 1
```

=====

# RbSeS2 | Alexandria via LeMat-Bulk | PBE | optimized geometry
data_RbSeS2
_chemical_formula_sum 'Rb4 Se4 S8'
_symmetry_space_group_name_H-M 'C 1 2/c 1'
_symmetry_Int_Tables_number 15
_cell_length_a 6.660
_cell_length_b 17.498
_cell_length_c 5.689
_cell_angle_alpha 90.00
_cell_angle_beta 113.04
_cell_angle_gamma 90.00
loop_
_symmetry_equiv_pos_as_xyz
'x,y,z'
'-x,-y,-z'
'-x,y,-z+1/2'
'x,-y,z+1/2'
'x+1/2,y+1/2,z'
'-x+1/2,-y+1/2,-z'
'-x+1/2,y+1/2,-z+1/2'
'x+1/2,-y+1/2,z+1/2'
loop_
_atom_site_label
_atom_site_type_symbol
_atom_site_fract_x
_atom_site_fract_y
_atom_site_fract_z
_atom_site_occupancy
Rb1 Rb 0.000 0.154 0.250 1
Se1 Se 0.000 0.411 0.750 1
S1 S 0.097 0.345 0.141 1
# ΔE_f (raw)	-1.7	eV/f.u.

=====

# Sr3PtW | Alexandria via LeMat-Bulk | PBE | optimized geometry
data_Sr3PtW
_chemical_formula_sum 'Sr3 Pt1 W1'
_symmetry_space_group_name_H-M 'P m -3 m'
_symmetry_Int_Tables_number 221
_symmetry_space_group_name_Hall '-P 4 2 3'
_cell_length_a 5.789
_cell_length_b 5.789
_cell_length_c 5.789
_cell_angle_alpha 90.00
_cell_angle_beta 90.00
_cell_angle_gamma 90.00
loop_
_atom_site_label
_atom_site_type_symbol
_atom_site_fract_x
_atom_site_fract_y
_atom_site_fract_z
_atom_site_occupancy
Sr1 Sr 0.000 0.000 0.500 1
Pt1 Pt 0.000 0.000 0.000 1
W1 W 0.500 0.500 0.500 1
# energy relative to the lowest polymorph listed for this composition	0.000	eV/atom

=====

# Li2NpTe4Pb | Alexandria via LeMat-Bulk | PBE | optimized geometry
data_Li2NpTe4Pb
_chemical_formula_sum 'Li2 Np1 Te4 Pb1'
_symmetry_space_group_name_H-M 'P 1 2/m 1'
_symmetry_Int_Tables_number 10
_cell_length_a 7.431
_cell_length_b 4.420
_cell_length_c 7.795
_cell_angle_alpha 90.00
_cell_angle_beta 110.24
_cell_angle_gamma 90.00
loop_
_symmetry_equiv_pos_as_xyz
'x,y,z'
'-x,-y,-z'
'-x,y,-z'
'x,-y,z'
loop_
_atom_site_label
_atom_site_type_symbol
_atom_site_fract_x
_atom_site_fract_y
_atom_site_fract_z
_atom_site_occupancy
Li1 Li 0.000 0.000 0.000 1
Li2 Li 0.000 0.500 0.500 1
Np1 Np 0.500 0.000 0.500 1
Te1 Te 0.238 0.000 0.726 1
Te2 Te 0.242 0.500 0.258 1
Pb1 Pb 0.500 0.500 0.000 1
# ΔE_f (raw)	-5.4	eV/f.u.

=====

Density functional theory data (PBE) for a geometry-optimized PIr2 structure.

Geometry as CIF:
```
data_PIr2
_chemical_formula_sum 'P4 Ir8'
_symmetry_space_group_name_H-M 'I 41/a m d'
_symmetry_Int_Tables_number 141
_cell_length_a 2.871
_cell_length_b 2.871
_cell_length_c 20.790
_cell_angle_alpha 90.00
_cell_angle_beta 90.00
_cell_angle_gamma 90.00
loop_
_symmetry_equiv_pos_as_xyz
'x,y,z'
'-x,-y,-z'
'-y+1/4,x+3/4,z+1/4'
'y+1/4,-x+3/4,-z+1/4'
'-x+1/2,-y,z+1/2'
'x+1/2,y,-z+1/2'
'y+1/4,-x+1/4,z+3/4'
'-y+1/4,x+1/4,-z+3/4'
'x,-y,-z'
'-x,y,z'
'-y+1/4,-x+1/4,-z+3/4'
'y+1/4,x+1/4,z+3/4'
'-x+1/2,y,-z+1/2'
'x+1/2,-y,z+1/2'
'y+1/4,x+3/4,-z+1/4'
'-y+1/4,-x+3/4,z+1/4'
'x+1/2,y+1/2,z+1/2'
'-x+1/2,-y+1/2,-z+1/2'
'-y+3/4,x+1/4,z+3/4'
'y+3/4,-x+1/4,-z+3/4'
'-x,-y+1/2,z'
'x,y+1/2,-z'
'y+3/4,-x+3/4,z+1/4'
'-y+3/4,x+3/4,-z+1/4'
'x+1/2,-y+1/2,-z+1/2'
'-x+1/2,y+1/2,z+1/2'
'-y+3/4,-x+3/4,-z+1/4'
'y+3/4,x+3/4,z+1/4'
'-x,y+1/2,-z'
'x,-y+1/2,z'
'y+3/4,x+1/4,-z+3/4'
'-y+3/4,-x+1/4,z+3/4'
loop_
_atom_site_label
_atom_site_type_symbol
_atom_site_fract_x
_atom_site_fract_y
_atom_site_fract_z
_atom_site_occupancy
P1 P 0.000 0.250 0.375 1
Ir1 Ir 0.000 0.250 0.807 1
```

=====

# DyAgSO | Alexandria via LeMat-Bulk | PBE | optimized geometry
data_DyAgSO
_chemical_formula_sum 'Dy6 Ag6 S6 O6'
_symmetry_space_group_name_H-M 'R -3 m'
_symmetry_Int_Tables_number 166
_symmetry_space_group_name_Hall '-R 3 2"'
_cell_length_a 3.9310
_cell_length_b 3.9310
_cell_length_c 31.7221
_cell_angle_alpha 90.00
_cell_angle_beta 90.00
_cell_angle_gamma 120.00
loop_
_atom_site_label
_atom_site_type_symbol
_atom_site_fract_x
_atom_site_fract_y
_atom_site_fract_z
_atom_site_occupancy
Dy1 Dy 0.0000 0.0000 0.1225 1
Ag1 Ag 0.0000 0.0000 0.3059 1
S1 S 0.0000 0.0000 0.3991 1
O1 O 0.0000 0.0000 0.1932 1
# ΔE_f (raw)	-7.8	eV/f.u.

=====

# Ac8Te4Ir3O | Alexandria via LeMat-Bulk | PBE | optimized geometry
data_Ac8Te4Ir3O
_chemical_formula_sum 'Ac16 Te8 Ir6 O2'
_symmetry_space_group_name_H-M 'C 1 2/m 1'
_symmetry_Int_Tables_number 12
_cell_length_a 15.159
_cell_length_b 8.742
_cell_length_c 9.382
_cell_angle_alpha 90.00
_cell_angle_beta 122.56
_cell_angle_gamma 90.00
loop_
_symmetry_equiv_pos_as_xyz
'x,y,z'
'-x,-y,-z'
'-x,y,-z'
'x,-y,z'
'x+1/2,y+1/2,z'
'-x+1/2,-y+1/2,-z'
'-x+1/2,y+1/2,-z'
'x+1/2,-y+1/2,z'
loop_
_atom_site_label
_atom_site_type_symbol
_atom_site_fract_x
_atom_site_fract_y
_atom_site_fract_z
_atom_site_occupancy
Ac1 Ac 0.014 0.246 0.296 1
Ac2 Ac 0.233 0.000 0.705 1
Ac3 Ac 0.237 0.500 0.709 1
Te1 Te 0.000 0.000 0.000 1
Te2 Te 0.000 0.500 0.000 1
Te3 Te 0.250 0.250 0.000 1
Ir1 Ir 0.000 0.500 0.500 1
Ir2 Ir 0.250 0.250 0.500 1
O1 O 0.000 0.000 0.500 1
# ΔE_f (raw)	-20.9	eV/f.u.

=====

Uncorrected energy: -3.64 -4.63 -5.66 -5.59 -4.19 -2.72 -3.61 -4.14 -4.80 -7.71 -6.08 -6.12 (eV per atom)